Entry 1:
DyHPd3: optimized geometry, PBE.

Cell and atoms, written as POSCAR:
```
DyHPd3
1.0
-3.7172 -1.8705 0.0306
1.8705 -3.7173 -0.0111
0.0323 0.0038 4.1613
H Pd Dy
1 3 1
Direct
0.0000 0.0000 0.0000
0.5000 0.0000 0.0000
0.0000 0.0000 0.5000
0.0000 0.5000 0.0000
0.5000 0.5000 0.5000
```

Results
For the total energy, the calculation gives -0.1993 Ha/atom. As for the density of states at the Fermi level: 0.103 states/eV per atom.



Entry 2:
DyH12Pd7: optimized geometry, PBE.

Cell and atoms, written as POSCAR:
```
DyH12Pd7
1.0
-0.6918 4.5793 3.9417
-4.7348 -0.1240 -3.8146
0.2954 -5.2611 3.0363
H Pd Dy
12 7 1
Direct
0.1742 0.4802 0.3060
0.8258 0.1318 0.3060
0.1318 0.3060 0.8258
0.3060 0.8258 0.1318
0.6940 0.8258 0.5198
0.5198 0.6940 0.8258
0.8682 0.6940 0.1742
0.1742 0.8682 0.6940
0.6940 0.1742 0.8682
0.3060 0.1742 0.4802
0.4802 0.3060 0.1742
0.8258 0.5198 0.6940
0.5000 0.0000 0.5000
0.0000 0.0000 0.5000
0.0000 0.5000 0.0000
0.5000 0.0000 0.0000
0.5000 0.5000 0.5000
0.0000 0.5000 0.5000
0.5000 0.5000 0.0000
0.0000 0.0000 0.0000
```

Results
For the total energy, the calculation gives -0.1554 Ha/atom. As for the density of states at the Fermi level: 0.207 states/eV per atom.



Entry 3:
DyH7Pd5: optimized geometry, PBE.

Cell and atoms, written as POSCAR:
```
DyH7Pd5
1.0
5.4506 0.0896 0.9921
3.2778 5.5570 -1.1343
-0.9153 -2.0546 4.9435
H Pd Dy
7 5 1
Direct
0.2787 0.4419 0.7714
0.4559 0.5691 0.5219
0.1570 0.1159 0.6370
0.4556 0.5098 0.3339
0.7308 0.6822 0.9873
0.3529 0.1664 0.2239
0.9058 0.6353 0.4631
0.5266 0.5058 0.9341
0.5970 0.8860 0.8264
0.5061 0.0297 0.4250
0.0508 0.8881 0.5883
0.0547 0.4332 0.0348
0.9280 0.1367 0.2530
```

Results
For the total energy, the calculation gives -0.1603 Ha/atom. As for the density of states at the Fermi level: 0.122 states/eV per atom.



Entry 4:
DyH5Pd6: optimized geometry, PBE.

Cell and atoms, written as POSCAR:
```
DyH5Pd6
1.0
-2.7998 -1.5089 -3.4688
-1.4753 -3.6756 3.7868
-3.4252 3.6951 2.1545
Pd H Dy
6 5 1
Direct
0.7304 0.4426 0.8458
0.7304 0.8458 0.4426
0.2330 0.6596 0.6596
0.7670 0.3404 0.3404
0.2696 0.5574 0.1542
0.2696 0.1542 0.5574
0.0000 0.6601 0.3399
0.0000 0.3399 0.6601
0.5000 0.8443 0.1557
0.5000 0.5000 0.5000
0.5000 0.1557 0.8443
0.0000 0.0000 0.0000
```

Results
For the total energy, the calculation gives -0.1692 Ha/atom. As for the density of states at the Fermi level: 0.214 states/eV per atom.